[1]
First-principles (PBE) data for an optimized crystal structure of Al8Ru, as listed in the Alexandria database.

Calculated values
Crystal system: tetragonal
M_tot in μB per atom: 0.000
ΔE_f in kJ/mol of atoms: -15.61
Density of states at the Fermi level in states/eV/f.u.: 4.8
Mass density in kg/m³: 3746

Unit cell a=6.2497 b=6.2497 c=6.2497 alpha=95.91 beta=95.91 gamma=142.58
Positions (direct):
1 Al 0.3405 0.6595 0.0000
2 Al 0.6755 0.0000 0.6755
3 Al 0.6595 0.3405 0.0000
4 Al 0.0000 0.6755 0.6755
5 Al 0.6595 0.6595 0.3189
6 Al 0.3245 0.0000 0.3245
7 Al 0.3405 0.3405 0.6811
8 Al 0.0000 0.3245 0.3245
9 Ru 0.0000 0.0000 0.0000

---

[2]
First-principles (PBE) data for an optimized crystal structure of Tm2Mn2Ga2C, as listed in the Alexandria database.

Calculated values
Crystal system: monoclinic
M_tot in μB per atom: 0.190
ΔE_f in kJ/mol of atoms: -41.88
Density of states at the Fermi level in states/eV/f.u.: 4.1
Mass density in kg/m³: 8846

Unit cell a=3.5636 b=5.5923 c=7.1713 alpha=58.11 beta=90.00 gamma=71.42
Positions (direct):
1 Tm 0.4343 0.1313 0.7228
2 C 0.0000 0.0000 0.0000
3 Ga 0.8589 0.2823 0.3314
4 Tm 0.5657 0.8687 0.2772
5 Ga 0.1411 0.7177 0.6686
6 Mn 0.8042 0.3915 0.9418
7 Mn 0.1958 0.6085 0.0582

---

[3]
First-principles (PBE) data for an optimized crystal structure of TbY6Er2Sc, as listed in the Alexandria database.

Calculated values
Crystal system: monoclinic
M_tot in μB per atom: 0.000
ΔE_f in kJ/mol of atoms: 12.24
Density of states at the Fermi level in states/eV/f.u.: 14.9
Mass density in kg/m³: 5660

Unit cell a=9.4407 b=8.6848 c=8.6848 alpha=116.98 beta=93.99 gamma=93.99
Positions (direct):
1 Er 0.5493 0.2007 0.3021
2 Sc 0.7500 0.5865 0.4135
3 Y 0.8117 0.4369 0.9966
4 Y 0.8857 0.2939 0.5076
5 Tb 0.7500 0.0235 0.9765
6 Tb 0.2500 0.9765 0.0235
7 Er 0.9507 0.6979 0.7993
8 Y 0.3117 0.9966 0.4369
9 Y 0.9448 0.8763 0.2448
10 Y 0.4448 0.2448 0.8763
11 Y 0.1143 0.7061 0.4924
12 Sc 0.2500 0.4135 0.5865
13 Y 0.0552 0.1237 0.7552
14 Y 0.6143 0.4924 0.7061
15 Y 0.6883 0.0034 0.5631
16 Y 0.1883 0.5631 0.0034
17 Er 0.4507 0.7993 0.6979
18 Er 0.0493 0.3021 0.2007
19 Y 0.3857 0.5076 0.2939
20 Y 0.5552 0.7552 0.1237

---

[4]
First-principles (PBE) data for an optimized crystal structure of Ho7Er12Bi, as listed in the Alexandria database.

Calculated values
Crystal system: trigonal
M_tot in μB per atom: 0.000
ΔE_f in kJ/mol of atoms: 14.81
Density of states at the Fermi level in states/eV/f.u.: 37.7
Mass density in kg/m³: 8680

Unit cell a=8.6410 b=8.6411 c=8.6410 alpha=88.89 beta=88.89 gamma=88.89
Positions (direct):
1 Ho 0.2387 0.7780 0.3724
2 Er 0.1223 0.3427 0.4651
3 Ho 0.7780 0.3724 0.2387
4 Er 0.6573 0.5349 0.8777
5 Ho 0.2220 0.6276 0.7613
6 Er 0.3427 0.4651 0.1223
7 Er 0.4651 0.1223 0.3427
8 Er 0.1130 0.9919 0.6580
9 Er 0.6580 0.1130 0.9919
10 Ho 0.6276 0.7613 0.2220
11 Er 0.3420 0.8870 0.0081
12 Bi 0.0000 0.0000 0.0000
13 Er 0.9919 0.6580 0.1130
14 Er 0.8870 0.0081 0.3420
15 Er 0.0081 0.3420 0.8870
16 Ho 0.7613 0.2220 0.6276
17 Er 0.5349 0.8777 0.6573
18 Ho 0.5000 0.5000 0.5000
19 Ho 0.3724 0.2387 0.7780
20 Er 0.8777 0.6573 0.5349

---

[5]
First-principles (PBE) data for an optimized crystal structure of La2Sm4Tm3, as listed in the Alexandria database.

Calculated values
Crystal system: monoclinic
M_tot in μB per atom: 0.000
ΔE_f in kJ/mol of atoms: 8.51
Density of states at the Fermi level in states/eV/f.u.: 12.3
Mass density in kg/m³: 7703
Energy above the lowest structure with this stoichiometry in meV per atom: 0

Unit cell a=6.0337 b=10.3162 c=10.3162 alpha=69.85 beta=83.83 gamma=83.83
Positions (direct):
1 Sm 0.3694 0.1587 0.3774
2 La 0.2837 0.5068 0.2827
3 Sm 0.5417 0.0453 0.8313
4 Sm 0.8694 0.3774 0.1587
5 La 0.7837 0.2827 0.5068
6 Sm 0.9583 0.1687 0.9547
7 Sm 0.1306 0.6226 0.8413
8 Tm 0.7500 0.6519 0.3481
9 Sm 0.0417 0.8313 0.0453
10 Tm 0.2500 0.3481 0.6519
11 La 0.7163 0.4932 0.7173
12 La 0.2163 0.7173 0.4932
13 Tm 0.5875 0.6868 0.9844
14 Tm 0.0875 0.9844 0.6868
15 Sm 0.4583 0.9547 0.1687
16 Sm 0.6306 0.8413 0.6226
17 Tm 0.9125 0.0156 0.3132
18 Tm 0.4125 0.3132 0.0156

---

[6]
First-principles (PBE) data for an optimized crystal structure of NbMo2IrPt, as listed in the Alexandria database.

Calculated values
Crystal system: tetragonal
M_tot in μB per atom: 0.000
ΔE_f in kJ/mol of atoms: 182.47
Density of states at the Fermi level in states/eV/f.u.: 7.4
Mass density in kg/m³: 10860

Unit cell a=4.6212 b=4.8121 c=4.6212 alpha=90.00 beta=90.00 gamma=90.00
Positions (direct):
1 Pt 0.0000 0.5000 0.0000
2 Mo 0.5000 0.0000 0.0000
3 Nb 0.0000 0.0000 0.0000
4 Ir 0.5000 0.5000 0.5000
5 Mo 0.0000 0.0000 0.5000